Entry 1:
Compound: LiNiHgAs
Source: the Open Quantum Materials Database
Functional: PBE
Structure: relaxed

a = 6.288 Å, b = 6.288 Å, c = 6.288 Å
α = 90.00°, β = 90.00°, γ = 90.00°
Space group F-43m (No. 216)
Unique sites:
Li (0.000, 0.000, 0.000) x4
Ni (0.000, 0.000, 0.500) x4
Hg (0.250, 0.250, 0.750) x4
As (0.250, 0.250, 0.250) x4

Electronic total energy (eV per atom): -3.228
Relative energy among the computed polymorphs (eV per atom): 0.000

=====

Entry 2:
Compound: Hf2Cu3Ag
Source: the Open Quantum Materials Database
Functional: PBE
Structure: relaxed

a = 3.340 Å, b = 3.340 Å, c = 8.617 Å
α = 90.00°, β = 90.00°, γ = 90.00°
Space group P4mm (No. 99)
Unique sites:
Hf (0.000, 0.000, 0.000) x1
Hf (0.500, 0.500, 0.480) x1
Cu (0.000, 0.000, 0.312) x1
Cu (0.500, 0.500, 0.168) x1
Cu (0.500, 0.500, 0.831) x1
Ag (0.000, 0.000, 0.673) x1

ΔE_f (eV/atom): -0.079
Electronic total energy (eV per atom): -5.726

=====

Entry 3:
Compound: BaPrNd
Source: the Open Quantum Materials Database
Functional: PBE
Structure: relaxed

a = 8.383 Å, b = 8.383 Å, c = 8.383 Å
α = 90.00°, β = 90.00°, γ = 90.00°
Space group F-43m (No. 216)
Unique sites:
Ba (0.000, 0.000, 0.000) x4
Pr (0.250, 0.250, 0.250) x4
Nd (0.000, 0.000, 0.500) x4

Electronic total energy (eV per atom): -3.039

=====

Entry 4:
Compound: SmMgCuTe2Se
Source: the Open Quantum Materials Database
Functional: PBE
Structure: relaxed

a = 4.077 Å, b = 13.674 Å, c = 11.006 Å
α = 90.00°, β = 90.00°, γ = 90.00°
Space group Cmcm (No. 63)
Unique sites:
Sm (0.000, 0.000, 0.000) x4
Mg (0.000, 0.257, 0.250) x4
Cu (0.000, 0.481, 0.750) x4
Te (0.000, 0.344, 0.582) x8
Se (0.000, 0.092, 0.750) x4

Electronic total energy (eV per atom): -4.168